DFT (GGA-PBE) results for a relaxed structure of Li2Zr2Sc.

Symmetry ... P4/mbm (127)
Electronic total energy ... -25.767 eV per formula unit

Geometry as POSCAR:
```
Li2Zr2Sc
1.0
8.2171 0.0000 0.0000
0.0000 8.2171 0.0000
0.0000 0.0000 2.9939
Li Zr Sc
4 4 2
direct
0.1155 0.3845 0.0000
0.3845 0.8845 0.0000
0.6155 0.1155 0.0000
0.8845 0.6155 0.0000
0.1808 0.6808 0.5000
0.3192 0.1808 0.5000
0.6808 0.8192 0.5000
0.8192 0.3192 0.5000
0.0000 0.0000 0.0000
0.5000 0.5000 0.0000
```